No. 1
# SrLa2Rh

A relaxed structure of SrLa2Rh (GGA-PBE, Alexandria).

Properties
**Energy of formation from the pure elements**: -1.2 eV per formula unit
**Relative energy among the computed polymorphs**: 115.7 meV per atom

Structure (CIF):
```
data_SrLa2Rh
_cell_length_a 3.961
_cell_length_b 4.347
_cell_length_c 16.963
_cell_angle_alpha 90.00
_cell_angle_beta 90.00
_cell_angle_gamma 90.00
_space_group_name_H-M_alt 'A m m 2'
_space_group_IT_number 38
loop_
_space_group_symop_operation_xyz
'x,y,z'
'-x,-y,z'
'-x,y,z'
'x,-y,z'
'x,y+1/2,z+1/2'
'-x,-y+1/2,z+1/2'
'-x,y+1/2,z+1/2'
'x,-y+1/2,z+1/2'
loop_
_atom_site_label
_atom_site_fract_x
_atom_site_fract_y
_atom_site_fract_z
Sr1 0.000 0.000 0.000
La1 0.000 0.000 0.683
La2 0.500 0.000 0.330
Rh1 0.500 0.000 0.172
```

=====

No. 2
# SrLa2Rh

A relaxed structure of SrLa2Rh (GGA-PBE, Alexandria).

Properties
**Energy of formation from the pure elements**: -1.7 eV per formula unit
**Relative energy among the computed polymorphs**: 5.0 meV per atom

Structure (CIF):
```
data_SrLa2Rh
_cell_length_a 4.2126
_cell_length_b 4.2126
_cell_length_c 20.2911
_cell_angle_alpha 90.00
_cell_angle_beta 90.00
_cell_angle_gamma 120.00
_space_group_name_H-M_alt 'P 63/m m c'
_space_group_IT_number 194
_space_group_name_Hall '-P 6c 2c'
loop_
_atom_site_label
_atom_site_fract_x
_atom_site_fract_y
_atom_site_fract_z
Sr1 0.3333 0.6667 0.2500
La1 0.3333 0.6667 0.5755
Rh1 0.0000 0.0000 0.0000
```

=====

No. 3
# SrLaRh2

A relaxed structure of SrLaRh2 (GGA-PBE, Alexandria).

Properties
**Energy of formation from the pure elements**: -1.7 eV per formula unit

Structure (CIF):
```
data_SrLaRh2
_cell_length_a 3.602
_cell_length_b 3.623
_cell_length_c 7.252
_cell_angle_alpha 90.00
_cell_angle_beta 90.00
_cell_angle_gamma 90.00
_space_group_name_H-M_alt 'P m m m'
_space_group_IT_number 47
loop_
_space_group_symop_operation_xyz
'x,y,z'
'-x,-y,-z'
'-x,-y,z'
'x,y,-z'
'x,-y,-z'
'-x,y,z'
'-x,y,-z'
'x,-y,z'
loop_
_atom_site_label
_atom_site_fract_x
_atom_site_fract_y
_atom_site_fract_z
Sr1 0.000 0.000 0.000
La1 0.000 0.000 0.500
Rh1 0.500 0.500 0.283
```

=====

No. 4
# Sr2LaRh2

A relaxed structure of Sr2LaRh2 (GGA-PBE, Alexandria).

Properties
**Energy of formation from the pure elements**: -1.6 eV per formula unit

Structure (CIF):
```
data_Sr2LaRh2
_cell_length_a 7.457
_cell_length_b 7.457
_cell_length_c 4.931
_cell_angle_alpha 90.00
_cell_angle_beta 90.00
_cell_angle_gamma 90.00
_space_group_name_H-M_alt 'P 4/m b m'
_space_group_IT_number 127
_space_group_name_Hall '-P 4 2ab'
loop_
_atom_site_label
_atom_site_fract_x
_atom_site_fract_y
_atom_site_fract_z
Sr1 0.167 0.333 0.000
La1 0.000 0.000 0.500
Rh1 0.125 0.625 0.500
```

=====

No. 5
# SrLa2Rh

A relaxed structure of SrLa2Rh (GGA-PBE, Alexandria).

Properties
**Energy of formation from the pure elements**: -1.2 eV per formula unit
**Relative energy among the computed polymorphs**: 120.4 meV per atom

Structure (CIF):
```
data_SrLa2Rh
_cell_length_a 3.698
_cell_length_b 3.698
_cell_length_c 10.142
_cell_angle_alpha 90.00
_cell_angle_beta 90.00
_cell_angle_gamma 90.00
_space_group_name_H-M_alt 'P 4/m m m'
_space_group_IT_number 123
_space_group_name_Hall '-P 4 2'
loop_
_atom_site_label
_atom_site_fract_x
_atom_site_fract_y
_atom_site_fract_z
Sr1 0.000 0.000 0.000
La1 0.500 0.500 0.339
Rh1 0.000 0.000 0.500
```

=====

No. 6
# SrLa2Rh

A relaxed structure of SrLa2Rh (GGA-PBE, Alexandria).

Properties
**Energy of formation from the pure elements**: -1.3 eV per formula unit
**Relative energy among the computed polymorphs**: 85.7 meV per atom

Structure (CIF):
```
data_SrLa2Rh
_cell_length_a 3.898
_cell_length_b 6.171
_cell_length_c 11.123
_cell_angle_alpha 90.00
_cell_angle_beta 90.00
_cell_angle_gamma 90.00
_space_group_name_H-M_alt 'I m m m'
_space_group_IT_number 71
_space_group_name_Hall '-I 2 2'
loop_
_atom_site_label
_atom_site_fract_x
_atom_site_fract_y
_atom_site_fract_z
Sr1 0.000 0.000 0.000
La1 0.000 0.500 0.182
Rh1 0.000 0.000 0.500
```

=====

No. 7
# SrLa2Rh

A relaxed structure of SrLa2Rh (GGA-PBE, Alexandria).

Properties
**Energy of formation from the pure elements**: 0.8 eV per formula unit
**Relative energy among the computed polymorphs**: 609.9 meV per atom

Structure (CIF):
```
data_SrLa2Rh
_cell_length_a 6.627
_cell_length_b 11.085
_cell_length_c 3.599
_cell_angle_alpha 90.00
_cell_angle_beta 117.85
_cell_angle_gamma 90.00
_space_group_name_H-M_alt 'C 1 2/m 1'
_space_group_IT_number 12
loop_
_space_group_symop_operation_xyz
'x,y,z'
'-x,-y,-z'
'-x,y,-z'
'x,-y,z'
'x+1/2,y+1/2,z'
'-x+1/2,-y+1/2,-z'
'-x+1/2,y+1/2,-z'
'x+1/2,-y+1/2,z'
loop_
_atom_site_label
_atom_site_fract_x
_atom_site_fract_y
_atom_site_fract_z
Sr1 0.000 0.000 0.000
La1 0.250 0.250 0.500
Rh1 0.000 0.500 0.000
```

=====

No. 8
# Sr2LaRh

A relaxed structure of Sr2LaRh (GGA-PBE, Alexandria).

Properties
**Energy of formation from the pure elements**: -1.0 eV per formula unit
**Relative energy among the computed polymorphs**: 101.8 meV per atom

Structure (CIF):
```
data_Sr2LaRh
_cell_length_a 3.910
_cell_length_b 6.302
_cell_length_c 11.861
_cell_angle_alpha 90.00
_cell_angle_beta 90.00
_cell_angle_gamma 90.00
_space_group_name_H-M_alt 'I m m 2'
_space_group_IT_number 44
loop_
_space_group_symop_operation_xyz
'x,y,z'
'-x,-y,z'
'-x,y,z'
'x,-y,z'
'x+1/2,y+1/2,z+1/2'
'-x+1/2,-y+1/2,z+1/2'
'-x+1/2,y+1/2,z+1/2'
'x+1/2,-y+1/2,z+1/2'
loop_
_atom_site_label
_atom_site_fract_x
_atom_site_fract_y
_atom_site_fract_z
Sr1 0.000 0.000 0.000
Sr2 0.000 0.500 0.179
La1 0.000 0.000 0.354
Rh1 0.000 0.500 0.706
```

=====

No. 9
# SrLa2Rh

A relaxed structure of SrLa2Rh (GGA-PBE, Alexandria).

Properties
**Energy of formation from the pure elements**: -1.7 eV per formula unit
**Relative energy among the computed polymorphs**: 0.0 meV per atom

Structure (CIF):
```
data_SrLa2Rh
_cell_length_a 4.2223
_cell_length_b 4.2223
_cell_length_c 30.0269
_cell_angle_alpha 90.00
_cell_angle_beta 90.00
_cell_angle_gamma 120.00
_space_group_name_H-M_alt 'R 3 m'
_space_group_IT_number 160
_space_group_name_Hall 'R 3 -2"'
loop_
_atom_site_label
_atom_site_fract_x
_atom_site_fract_y
_atom_site_fract_z
Sr1 0.0000 0.0000 0.0000
La1 0.0000 0.0000 0.5492
La2 0.0000 0.0000 0.7809
Rh1 0.0000 0.0000 0.1647
```

=====

No. 10
# Sr2LaRh

A relaxed structure of Sr2LaRh (GGA-PBE, Alexandria).

Properties
**Energy of formation from the pure elements**: 0.5 eV per formula unit
**Relative energy among the computed polymorphs**: 466.5 meV per atom

Structure (CIF):
```
data_Sr2LaRh
_cell_length_a 3.9390
_cell_length_b 3.9390
_cell_length_c 32.3134
_cell_angle_alpha 90.00
_cell_angle_beta 90.00
_cell_angle_gamma 120.00
_space_group_name_H-M_alt 'R -3 m'
_space_group_IT_number 166
_space_group_name_Hall '-R 3 2"'
loop_
_atom_site_label
_atom_site_fract_x
_atom_site_fract_y
_atom_site_fract_z
Sr1 0.0000 0.0000 0.2246
La1 0.0000 0.0000 0.0000
Rh1 0.0000 0.0000 0.5000
```

=====

No. 11
# SrLa2Rh

A relaxed structure of SrLa2Rh (GGA-PBE, Alexandria).

Properties
**Energy of formation from the pure elements**: 0.3 eV per formula unit
**Relative energy among the computed polymorphs**: 497.0 meV per atom

Structure (CIF):
```
data_SrLa2Rh
_cell_length_a 4.542
_cell_length_b 4.724
_cell_length_c 5.490
_cell_angle_alpha 90.00
_cell_angle_beta 90.00
_cell_angle_gamma 90.00
_space_group_name_H-M_alt 'P m m m'
_space_group_IT_number 47
loop_
_space_group_symop_operation_xyz
'x,y,z'
'-x,-y,-z'
'-x,-y,z'
'x,y,-z'
'x,-y,-z'
'-x,y,z'
'-x,y,-z'
'x,-y,z'
loop_
_atom_site_label
_atom_site_fract_x
_atom_site_fract_y
_atom_site_fract_z
Sr1 0.000 0.000 0.000
La1 0.500 0.000 0.500
La2 0.500 0.500 0.000
Rh1 0.000 0.500 0.500
```

=====

No. 12
# SrLa2Rh

A relaxed structure of SrLa2Rh (GGA-PBE, Alexandria).

Properties
**Energy of formation from the pure elements**: -0.9 eV per formula unit
**Relative energy among the computed polymorphs**: 200.9 meV per atom

Structure (CIF):
```
data_SrLa2Rh
_cell_length_a 3.809
_cell_length_b 5.666
_cell_length_c 12.322
_cell_angle_alpha 90.00
_cell_angle_beta 90.00
_cell_angle_gamma 90.00
_space_group_name_H-M_alt 'I m m 2'
_space_group_IT_number 44
loop_
_space_group_symop_operation_xyz
'x,y,z'
'-x,-y,z'
'-x,y,z'
'x,-y,z'
'x+1/2,y+1/2,z+1/2'
'-x+1/2,-y+1/2,z+1/2'
'-x+1/2,y+1/2,z+1/2'
'x+1/2,-y+1/2,z+1/2'
loop_
_atom_site_label
_atom_site_fract_x
_atom_site_fract_y
_atom_site_fract_z
Sr1 0.000 0.000 0.000
La1 0.000 0.000 0.363
La2 0.000 0.500 0.186
Rh1 0.000 0.500 0.706
```

=====

No. 13
# Sr2LaRh9

A relaxed structure of Sr2LaRh9 (GGA-PBE, Alexandria).

Properties
**Energy of formation from the pure elements**: -3.5 eV per formula unit

Structure (CIF):
```
data_Sr2LaRh9
_cell_length_a 5.3899
_cell_length_b 5.3899
_cell_length_c 26.7033
_cell_angle_alpha 90.00
_cell_angle_beta 90.00
_cell_angle_gamma 120.00
_space_group_name_H-M_alt 'R -3 m'
_space_group_IT_number 166
_space_group_name_Hall '-R 3 2"'
loop_
_atom_site_label
_atom_site_fract_x
_atom_site_fract_y
_atom_site_fract_z
Sr1 0.0000 0.0000 0.1410
La1 0.0000 0.0000 0.0000
Rh1 0.0000 0.0000 0.3321
Rh2 0.0000 0.0000 0.5000
Rh3 0.0048 0.5024 0.0799
```

=====

No. 14
# Sr3LaRh2

A relaxed structure of Sr3LaRh2 (GGA-PBE, Alexandria).

Properties
**Energy of formation from the pure elements**: -2.0 eV per formula unit

Structure (CIF):
```
data_Sr3LaRh2
_cell_length_a 17.453
_cell_length_b 4.464
_cell_length_c 12.071
_cell_angle_alpha 90.00
_cell_angle_beta 117.90
_cell_angle_gamma 90.00
_space_group_name_H-M_alt 'C 1 2/m 1'
_space_group_IT_number 12
loop_
_space_group_symop_operation_xyz
'x,y,z'
'-x,-y,-z'
'-x,y,-z'
'x,-y,z'
'x+1/2,y+1/2,z'
'-x+1/2,-y+1/2,-z'
'-x+1/2,y+1/2,-z'
'x+1/2,-y+1/2,z'
loop_
_atom_site_label
_atom_site_fract_x
_atom_site_fract_y
_atom_site_fract_z
Sr1 0.054 0.000 0.230
Sr2 0.164 0.500 0.018
Sr3 0.219 0.000 0.603
La1 0.071 0.500 0.662
Rh1 0.103 0.500 0.432
Rh2 0.138 0.000 0.817
```

=====

Number 1: energy -40.192 eV for the cell shown, Fermi-level density of states 8.693 states/eV per cell. Number 2: energy -41.077 eV for the cell shown, Fermi-level density of states 8.966 states/eV per cell. Number 3: energy -23.041 eV for the cell shown, Fermi-level density of states 2.573 states/eV per cell. Number 4: energy -49.208 eV for the cell shown, Fermi-level density of states 6.704 states/eV per cell. Number 5: energy -20.077 eV for the cell shown, Fermi-level density of states 4.800 states/eV per cell. Number 6: energy -40.432 eV for the cell shown, Fermi-level density of states 7.769 states/eV per cell. Number 7: energy -36.239 eV for the cell shown, Fermi-level density of states 9.935 states/eV per cell. Number 8: energy -33.299 eV for the cell shown, Fermi-level density of states 6.342 states/eV per cell. Number 9: energy -61.676 eV for the cell shown, Fermi-level density of states 13.792 states/eV per cell. Number 10: energy -45.573 eV for the cell shown, Fermi-level density of states 20.110 states/eV per cell. Number 11: energy -18.571 eV for the cell shown, Fermi-level density of states 4.892 states/eV per cell. Number 12: energy -39.510 eV for the cell shown, Fermi-level density of states 8.716 states/eV per cell. Number 13: energy -233.971 eV for the cell shown, Fermi-level density of states 47.210 states/eV per cell. Number 14: energy -106.889 eV for the cell shown, Fermi-level density of states 15.528 states/eV per cell.